Record 1
# CePmPr2As4 PBE optimized geometry
data_CePmPr2As4
_space_group_name_H-M_alt 'P 1 2/m 1'
_space_group_IT_number 10
_space_group_name_Hall '-P 2y'
_cell_length_a 7.386
_cell_length_b 4.266
_cell_length_c 7.391
_cell_angle_alpha 90.00
_cell_angle_beta 109.41
_cell_angle_gamma 90.00
loop_
_atom_site_label
_atom_site_fract_x
_atom_site_fract_y
_atom_site_fract_z
_atom_site_occupancy
Ce1 0.000 0.000 0.000 1
Pm1 0.500 0.500 0.000 1
Pr1 0.000 0.500 0.500 1
Pr2 0.500 0.000 0.500 1
As1 0.246 0.500 0.243 1
As2 0.249 0.000 0.756 1
# Energy (eV per atom): -6.35

---

Record 2
# VBiPbC2 PBE optimized geometry
data_VBiPbC2
_space_group_name_H-M_alt 'P 4/m m m'
_space_group_IT_number 123
_space_group_name_Hall '-P 4 2'
_cell_length_a 4.440
_cell_length_b 4.440
_cell_length_c 6.131
_cell_angle_alpha 90.00
_cell_angle_beta 90.00
_cell_angle_gamma 90.00
loop_
_atom_site_label
_atom_site_fract_x
_atom_site_fract_y
_atom_site_fract_z
_atom_site_occupancy
V1 0.000 0.000 0.000 1
Bi1 0.500 0.500 0.500 1
Pb1 0.500 0.500 0.000 1
C1 0.000 0.500 0.500 1
# Energy (eV per atom): -4.10

---

Record 3
# MgAs PBE optimized geometry
data_MgAs
_space_group_name_H-M_alt 'C 1 2/m 1'
_space_group_IT_number 12
_space_group_name_Hall '-C 2y'
_cell_length_a 11.043
_cell_length_b 3.868
_cell_length_c 4.026
_cell_angle_alpha 90.00
_cell_angle_beta 108.41
_cell_angle_gamma 90.00
loop_
_atom_site_label
_atom_site_fract_x
_atom_site_fract_y
_atom_site_fract_z
_atom_site_occupancy
Mg1 0.138 0.000 0.276 1
As1 0.108 0.500 0.743 1
# Energy above the most stable polymorph in this dataset (meV/atom): 52

---

Record 4
# SrTlMo2 PBE optimized geometry
data_SrTlMo2
_space_group_name_H-M_alt 'P 1 2/m 1'
_space_group_IT_number 10
_space_group_name_Hall '-P 2y'
_cell_length_a 3.077
_cell_length_b 5.410
_cell_length_c 5.563
_cell_angle_alpha 90.00
_cell_angle_beta 91.61
_cell_angle_gamma 90.00
loop_
_atom_site_label
_atom_site_fract_x
_atom_site_fract_y
_atom_site_fract_z
_atom_site_occupancy
Sr1 0.000 0.000 0.000 1
Tl1 0.500 0.000 0.500 1
Mo1 0.368 0.500 0.799 1
# Energy above the most stable polymorph in this dataset (meV/atom): 513

---

Record 5
# Sm2Pu2Tl3 PBE optimized geometry
data_Sm2Pu2Tl3
_space_group_name_H-M_alt 'C m m m'
_space_group_IT_number 65
_space_group_name_Hall '-C 2 2'
_cell_length_a 4.729
_cell_length_b 23.420
_cell_length_c 3.495
_cell_angle_alpha 90.00
_cell_angle_beta 90.00
_cell_angle_gamma 90.00
loop_
_atom_site_label
_atom_site_fract_x
_atom_site_fract_y
_atom_site_fract_z
_atom_site_occupancy
Sm1 0.000 0.075 0.000 1
Pu1 0.000 0.214 0.000 1
Tl1 0.000 0.349 0.500 1
Tl2 0.000 0.500 0.500 1
# Energy (eV per atom): -6.58

---

Record 6
# ZnBi3Os PBE optimized geometry
data_ZnBi3Os
_space_group_name_H-M_alt 'P m -3 m'
_space_group_IT_number 221
_space_group_name_Hall '-P 4 2 3'
_cell_length_a 5.215
_cell_length_b 5.215
_cell_length_c 5.215
_cell_angle_alpha 90.00
_cell_angle_beta 90.00
_cell_angle_gamma 90.00
loop_
_atom_site_label
_atom_site_fract_x
_atom_site_fract_y
_atom_site_fract_z
_atom_site_occupancy
Zn1 0.000 0.000 0.000 1
Bi1 0.000 0.000 0.500 1
Os1 0.500 0.500 0.500 1
# Energy above the most stable polymorph in this dataset (meV/atom): 666